Entry 1:
# TlAsPt2

TlAsPt2 after structural relaxation (PBE, Alexandria via LeMat-Bulk).

abc: 4.720 4.720 4.720
angles: 60.00 60.00 60.00
Fractional coordinates of all 4 atoms:
Pt 0.250 0.250 0.250
Pt 0.000 0.000 0.000
As 0.500 0.500 0.500
Tl 0.750 0.750 0.750

D(E_F) = 1.056 states/eV per atom
Formation energy = 296 meV/atom

Entry 2:
# Tl3AsPt

Tl3AsPt after structural relaxation (PBE, Alexandria via LeMat-Bulk).

abc: 5.437 5.437 5.437
angles: 90.00 90.00 90.00
Fractional coordinates of all 5 atoms:
Tl 0.000 0.000 0.500
Tl 0.000 0.500 0.000
As 0.000 0.000 0.000
Pt 0.500 0.500 0.500
Tl 0.500 0.000 0.000

Energy above the most stable polymorph in this dataset = 455 meV per atom
D(E_F) = 0.347 states/eV per atom
Formation energy = 682 meV/atom

Entry 3:
# TlAsPt2

TlAsPt2 after structural relaxation (PBE, Alexandria via LeMat-Bulk).

abc: 3.142 3.393 6.968
angles: 90.00 90.00 90.00
Fractional coordinates of all 4 atoms:
Pt 0.000 0.000 0.543
Tl 0.500 0.500 0.250
Pt 0.000 0.000 0.957
As 0.500 0.500 0.750

D(E_F) = 0.460 states/eV per atom
Formation energy = 32 meV/atom

Entry 4:
# Tl3AsPt

Tl3AsPt after structural relaxation (PBE, Alexandria via LeMat-Bulk).

abc: 5.328 5.328 5.328
angles: 90.00 90.00 90.00
Fractional coordinates of all 5 atoms:
As 0.500 0.500 0.500
Pt 0.000 0.000 0.000
Tl 0.000 0.500 0.000
Tl 0.500 0.000 0.000
Tl 0.000 0.000 0.500

Energy above the most stable polymorph in this dataset = 0 meV per atom
D(E_F) = 0.987 states/eV per atom
Formation energy = 227 meV/atom

Entry 5:
# TlAs3Pt

TlAs3Pt after structural relaxation (PBE, Alexandria via LeMat-Bulk).

abc: 5.024 5.024 5.024
angles: 90.00 90.00 90.00
Fractional coordinates of all 5 atoms:
Tl 0.500 0.500 0.500
Pt 0.000 0.000 0.000
As 0.000 0.500 0.000
As 0.000 0.000 0.500
As 0.500 0.000 0.000

Energy above the most stable polymorph in this dataset = 0 meV per atom
D(E_F) = 1.335 states/eV per atom
Formation energy = 461 meV/atom

Entry 6:
# TlAs2Pt

TlAs2Pt after structural relaxation (PBE, Alexandria via LeMat-Bulk).

abc: 5.128 5.128 3.048
angles: 90.00 90.00 90.00
Fractional coordinates of all 4 atoms:
Tl 0.000 0.500 0.500
As 0.000 0.000 0.000
As 0.500 0.500 0.000
Pt 0.500 0.000 0.500

Energy above the most stable polymorph in this dataset = 603 meV per atom
D(E_F) = 0.638 states/eV per atom
Formation energy = 375 meV/atom

| no. | magnetization (μB/f.u.) |
| --- | --- |
| 1 | 0.00 |
| 2 | 0.00 |
| 3 | 0.00 |
| 4 | 0.75 |
| 5 | 0.00 |
| 6 | 0.00 |